Record 1
Entry from Alexandria via LeMat-Bulk: a relaxed Ac2CdNi3 crystal (PBE).

Results
mass density = 8.75 g cm⁻³
VASP energy = -4.62 eV per atom
magnetization = 0.00 Bohr magnetons per cell
ΔE_f = -0.203 eV/atom

Cell and atoms, written as POSCAR:
```
Ac2CdNi3
1.0
0.000 4.413 7.490
4.264 0.000 7.490
4.264 4.413 0.000
Ac Cd Ni
4 2 6
Cartesian
6.514 4.413 7.490
2.132 2.206 3.745
6.396 6.619 11.235
2.014 4.413 7.490
4.264 4.413 5.045
4.264 4.413 9.935
4.264 2.081 6.290
4.264 4.413 2.393
4.264 2.081 8.690
4.264 6.744 6.290
4.264 4.413 12.587
4.264 6.744 8.690
```

=====

Record 2
Entry from Alexandria via LeMat-Bulk: a relaxed Be2OsPt crystal (PBE).

Results
mass density = 14.05 g cm⁻³
VASP energy = -6.42 eV per atom
magnetization = 0.00 Bohr magnetons per cell
ΔE_f = -0.236 eV/atom

Cell and atoms, written as POSCAR:
```
Be2OsPt
1.0
2.727 0.000 0.000
0.000 3.455 0.000
0.000 0.000 5.061
Be Os Pt
2 1 1
Cartesian
0.000 0.000 1.037
0.000 0.000 4.024
1.363 1.728 0.000
0.000 1.728 2.531
```